{
  "formula": "CdInNiF6",
  "functional": "PBE+U",
  "state": "optimized geometry",
  "dos_at_fermi_per_ev_atom": 0.24,
  "volume_a3_per_atom": 14.2,
  "final_energy_ev_per_atom": -4.022,
  "mass_density_g_cm3": 5.2,
  "lattice": [[5.6490, 0.0000, 0.0000], [-2.8245, 4.8922, 0.0000], [0.0000, 0.0000, 9.2294]],
  "species": ["F", "F", "F", "F", "F", "F", "F", "F", "F", "F", "F", "F", "In", "In", "Ni", "Ni", "Cd", "Cd"],
  "frac_coords": [[0.3135, 0.3032, 0.3791], [0.9897, 0.6865, 0.3791], [0.6968, 0.6865, 0.1209], [0.6865, 0.9897, 0.8791], [0.6968, 0.0103, 0.3791], [0.3135, 0.0103, 0.1209], [0.6865, 0.6968, 0.6209], [0.3032, 0.3135, 0.8791], [0.3032, 0.9897, 0.6209], [0.0103, 0.3135, 0.6209], [0.9897, 0.3032, 0.1209], [0.0103, 0.6968, 0.8791], [0.3333, 0.6667, 0.7500], [0.6667, 0.3333, 0.2500], [0.0000, 0.0000, 0.0000], [0.0000, 0.0000, 0.5000], [0.6667, 0.3333, 0.7500], [0.3333, 0.6667, 0.2500]]
}